No. 1
First-principles (PBE) data for a relaxed structure of ZrCrCd2, as listed in Alexandria via LeMat-Bulk.

Values from the calculation:
Formation energy from the elements in eV per atom: 0.222
Distance to the lowest polymorph of the same formula in kJ per mole of atoms: 9.6
DFT total energy in eV per atom: -4.78
Theoretical density in g cm⁻³: 7.65
Crystal system: monoclinic

```
data_ZrCrCd2
_symmetry_space_group_name_H-M 'C 1 m 1'
_symmetry_Int_Tables_number 8
_cell_length_a 10.087
_cell_length_b 3.145
_cell_length_c 5.249
_cell_angle_alpha 90.00
_cell_angle_beta 106.46
_cell_angle_gamma 90.00
loop_
_symmetry_equiv_pos_as_xyz
'x,y,z'
'x,-y,z'
'x+1/2,y+1/2,z'
'x+1/2,-y+1/2,z'
loop_
_atom_site_label
_atom_site_type_symbol
_atom_site_fract_x
_atom_site_fract_y
_atom_site_fract_z
_atom_site_occupancy
Zr1 Zr 0.000 0.000 0.000 1
Cr1 Cr 0.260 0.000 0.835 1
Cd1 Cd 0.028 0.500 0.525 1
Cd2 Cd 0.271 0.500 0.321 1
```

=====

No. 2
First-principles (PBE) data for a relaxed structure of PrHo2Mn, as listed in Alexandria via LeMat-Bulk.

Values from the calculation:
Formation energy from the elements in eV per atom: 0.113
Distance to the lowest polymorph of the same formula in kJ per mole of atoms: 0.0
DFT total energy in eV per atom: -5.66
Theoretical density in g cm⁻³: 7.90
Crystal system: tetragonal

```
data_PrHo2Mn
_symmetry_space_group_name_H-M 'P 4/m m m'
_symmetry_Int_Tables_number 123
_symmetry_space_group_name_Hall '-P 4 2'
_cell_length_a 3.486
_cell_length_b 3.486
_cell_length_c 9.099
_cell_angle_alpha 90.00
_cell_angle_beta 90.00
_cell_angle_gamma 90.00
loop_
_atom_site_label
_atom_site_type_symbol
_atom_site_fract_x
_atom_site_fract_y
_atom_site_fract_z
_atom_site_occupancy
Pr1 Pr 0.000 0.000 0.000 1
Ho1 Ho 0.500 0.500 0.310 1
Mn1 Mn 0.000 0.000 0.500 1
```

=====

No. 3
First-principles (PBE) data for a relaxed structure of Si2BiBr8, as listed in Alexandria via LeMat-Bulk.

Values from the calculation:
E_form (uncorrected) in eV/atom: -0.451
DFT total energy in eV per atom: -3.01
Theoretical density in g cm⁻³: 2.97
Crystal system: monoclinic

```
data_Si2BiBr8
_symmetry_space_group_name_H-M 'C 1 2/m 1'
_symmetry_Int_Tables_number 12
_cell_length_a 13.540
_cell_length_b 9.476
_cell_length_c 7.887
_cell_angle_alpha 90.00
_cell_angle_beta 92.27
_cell_angle_gamma 90.00
loop_
_symmetry_equiv_pos_as_xyz
'x,y,z'
'-x,-y,-z'
'-x,y,-z'
'x,-y,z'
'x+1/2,y+1/2,z'
'-x+1/2,-y+1/2,-z'
'-x+1/2,y+1/2,-z'
'x+1/2,-y+1/2,z'
loop_
_atom_site_label
_atom_site_type_symbol
_atom_site_fract_x
_atom_site_fract_y
_atom_site_fract_z
_atom_site_occupancy
Si1 Si 0.174 0.000 0.373 1
Bi1 Bi 0.000 0.000 0.000 1
Br1 Br 0.103 0.000 0.685 1
Br2 Br 0.140 0.197 0.168 1
Br3 Br 0.158 0.500 0.607 1
```